No. 1
Computed, not measured: Ta3Te after structural relaxation at the GGA-PBE level of DFT.

abc: 5.3547 5.3547 5.3547
angles: 134.96 134.96 65.59
With the nearest neighbours (Å) after each atom.
Sites, in units of the cell vectors:
1 Ta 0.0000 0.0000 0.0000  4 Te 2.90, 8 Ta 3.04
2 Ta 0.2500 0.7500 0.5000  8 Ta 2.90-3.04, 4 Te 3.04
3 Ta 0.7500 0.2500 0.5000  8 Ta 2.90-3.04, 4 Te 3.04
4 Te 0.5000 0.5000 0.0000  12 Ta 2.90-3.04

Properties
* total magnetization: 0.000 Bohr magnetons per cell
* final energy: -9.40 eV per atom
* space group: I4/mmm (139)
* ΔE_f (raw): 0.2699 eV per atom

No. 2
Computed, not measured: TaTe3 after structural relaxation at the GGA-PBE level of DFT.

abc: 7.2023 7.2023 4.9997
angles: 101.81 101.81 28.07
With the nearest neighbours (Å) after each atom.
Sites, in units of the cell vectors:
1 Ta 0.0000 0.0000 0.0000  8 Te 2.84-3.05
2 Te 0.3384 0.3384 0.8241  2 Ta 2.84, 1 Te 3.05
3 Te 0.5000 0.5000 0.5000  2 Te 3.05, 4 Ta 3.05
4 Te 0.6616 0.6616 0.1759  2 Ta 2.84, 1 Te 3.05

Properties
* total magnetization: 0.000 Bohr magnetons per cell
* final energy: -5.24 eV per atom
* space group: C2/m (12)
* ΔE_f (raw): 0.0824 eV per atom

No. 3
Computed, not measured: TaTe3 after structural relaxation at the GGA-PBE level of DFT.

abc: 5.6969 5.6969 3.4555
angles: 90.00 90.00 118.00
With the nearest neighbours (Å) after each atom.
Sites, in units of the cell vectors:
1 Ta 0.0000 0.0000 0.0000  2 Te 2.93
2 Te 0.0000 0.5000 0.5000  2 Te 2.93
3 Te 0.5000 0.0000 0.5000  2 Te 2.93
4 Te 0.5000 0.5000 0.0000  2 Ta 2.93

Properties
* total magnetization: 0.000 Bohr magnetons per cell
* final energy: -4.65 eV per atom
* space group: Cmmm (65)
* ΔE_f (raw): 0.6726 eV per atom

No. 4
Computed, not measured: TaTe5 after structural relaxation at the GGA-PBE level of DFT.

abc: 8.1081 8.1081 3.4262
angles: 90.00 90.00 120.00
With the nearest neighbours (Å) after each atom.
Sites, in units of the cell vectors:
1 Ta 0.0000 0.0000 0.0000  6 Te 2.79
2 Te 0.0000 0.7288 0.5000  2 Ta 2.79
3 Te 0.2712 0.2712 0.5000  2 Ta 2.79
4 Te 0.3333 0.6667 0.0000  8 Te 3.43-3.44
5 Te 0.6667 0.3333 0.0000  8 Te 3.43-3.44
6 Te 0.7288 0.0000 0.5000  2 Ta 2.79

Properties
* total magnetization: 0.000 Bohr magnetons per cell
* final energy: -4.39 eV per atom
* space group: P-62m (189)
* ΔE_f (raw): 0.2053 eV per atom

- What is the final energy in the first record?
  -9.40 eV per atom

- Which value of ΔE_f (raw) does entry 1 give?
  0.2699 eV per atom